# 1
An optimized crystal structure of PrGa7Fe5, computed with PBE.

Cell: 6.6930 6.6930 6.6930 Å, 135.44 98.17 98.36°
Closest atoms and distances in Å follow each position.
Sites, in units of the cell vectors:
Pr: 0.0000 0.0000 0.0000  10 Ga 2.93-3.27
Ga: 0.2063 0.4967 0.7097  5 Fe 2.51-2.77, 3 Ga 2.78-2.80
Ga: 0.2351 0.7351 0.5000  4 Fe 2.53, 6 Ga 2.71-2.79
Ga: 0.3453 0.3453 0.0000  4 Fe 2.66, 5 Ga 2.71-2.87
Ga: 0.3546 0.0118 0.3428  5 Fe 2.58-2.71, 4 Ga 2.76-2.80
Ga: 0.6656 0.6656 0.0000  6 Fe 2.64-2.67, 3 Ga 2.80-2.94, 1 Pr 2.93
Ga: 0.6690 0.0118 0.6572  5 Fe 2.58-2.71, 4 Ga 2.76-2.80
Ga: 0.7870 0.4967 0.2903  5 Fe 2.51-2.77, 3 Ga 2.78-2.80
Fe: 0.0041 0.0006 0.4968  3 Fe 2.50-2.57, 7 Ga 2.51-2.71
Fe: 0.0041 0.5073 0.0035  3 Fe 2.50-2.57, 7 Ga 2.51-2.71
Fe: 0.5038 0.0006 0.9965  3 Fe 2.50-2.57, 7 Ga 2.51-2.71
Fe: 0.5038 0.5073 0.5032  3 Fe 2.50-2.57, 7 Ga 2.51-2.71
Fe: 0.7606 0.2606 0.5000  4 Fe 2.54, 6 Ga 2.58-2.77

Computed properties:
ΔH_f (0 K)   -26.1 kJ/mol of atoms
Final energy   -5.523 eV per atom

***

# 2
An optimized crystal structure of Pr4Ga16Fe3, computed with PBE.

Cell: 6.1412 6.1412 11.4636 Å, 90.00 90.00 90.00°
Closest atoms and distances in Å follow each position.
Sites, in units of the cell vectors:
Pr: 0.0000 0.5000 0.1952  12 Ga 3.07-3.13
Pr: 0.0000 0.5000 0.8048  12 Ga 3.07-3.13
Pr: 0.5000 0.0000 0.1952  12 Ga 3.07-3.13
Pr: 0.5000 0.0000 0.8048  12 Ga 3.07-3.13
Ga: 0.0000 0.0000 0.1982  8 Ga 2.96-3.10, 4 Pr 3.07
Ga: 0.0000 0.0000 0.8018  8 Ga 2.96-3.10, 4 Pr 3.07
Ga: 0.2185 0.2185 0.0000  1 Fe 2.44, 2 Ga 2.68
Ga: 0.2185 0.7815 0.0000  1 Fe 2.44, 2 Ga 2.68
Ga: 0.2533 0.2533 0.3889  2 Fe 2.52, 1 Ga 2.55
Ga: 0.2533 0.2533 0.6111  2 Fe 2.52, 1 Ga 2.55
Ga: 0.2533 0.7467 0.3889  2 Fe 2.52, 1 Ga 2.55
Ga: 0.2533 0.7467 0.6111  2 Fe 2.52, 1 Ga 2.55
Ga: 0.5000 0.5000 0.2166  1 Fe 2.48
Ga: 0.5000 0.5000 0.7834  1 Fe 2.48
Ga: 0.7467 0.2533 0.3889  2 Fe 2.52, 1 Ga 2.55
Ga: 0.7467 0.2533 0.6111  2 Fe 2.52, 1 Ga 2.55
Ga: 0.7467 0.7467 0.3889  2 Fe 2.52, 1 Ga 2.55
Ga: 0.7467 0.7467 0.6111  2 Fe 2.52, 1 Ga 2.55
Ga: 0.7815 0.2185 0.0000  1 Fe 2.44, 2 Ga 2.68
Ga: 0.7815 0.7815 0.0000  1 Fe 2.44, 2 Ga 2.68
Fe: 0.0000 0.5000 0.5000  8 Ga 2.52
Fe: 0.5000 0.0000 0.5000  8 Ga 2.52
Fe: 0.5000 0.5000 0.0000  6 Ga 2.44-2.48

Computed properties:
ΔH_f (0 K)   -42.0 kJ/mol of atoms
Final energy   -4.476 eV per atom

***

# 3
An optimized crystal structure of Pr2Ga6Fe, computed with PBE.

Cell: 6.2828 6.2828 6.2828 Å, 60.00 60.00 60.00°
Closest atoms and distances in Å follow each position.
Sites, in units of the cell vectors:
Pr: 0.2500 0.2500 0.2500  12 Ga 3.15
Pr: 0.7500 0.7500 0.7500  12 Ga 3.15
Ga: 0.2212 0.2212 0.7788  1 Fe 2.48
Ga: 0.2212 0.7788 0.2212  1 Fe 2.48
Ga: 0.2212 0.7788 0.7788  1 Fe 2.48
Ga: 0.7788 0.2212 0.2212  1 Fe 2.48
Ga: 0.7788 0.2212 0.7788  1 Fe 2.48
Ga: 0.7788 0.7788 0.2212  1 Fe 2.48
Fe: 0.5000 0.5000 0.5000  6 Ga 2.48

Computed properties:
ΔH_f (0 K)   -50.6 kJ/mol of atoms
Final energy   -4.545 eV per atom

***

# 4
An optimized crystal structure of PrGa3Fe, computed with PBE.

Cell: 4.5870 4.5870 4.5870 Å, 90.00 90.00 90.00°
Closest atoms and distances in Å follow each position.
Sites, in units of the cell vectors:
Pr: 0.0000 0.0000 0.0000  12 Ga 3.24
Ga: 0.0000 0.5000 0.5000  2 Fe 2.29
Ga: 0.5000 0.0000 0.5000  2 Fe 2.29
Ga: 0.5000 0.5000 0.0000  2 Fe 2.29
Fe: 0.5000 0.5000 0.5000  6 Ga 2.29

Computed properties:
ΔH_f (0 K)   -39.3 kJ/mol of atoms
Final energy   -4.872 eV per atom

***

# 5
An optimized crystal structure of PrGa6Fe6, computed with PBE.

Cell: 8.6612 6.7277 6.5921 Å, 81.11 50.12 48.76°
Closest atoms and distances in Å follow each position.
Sites, in units of the cell vectors:
Pr: 0.0000 0.0000 0.0000  8 Ga 3.07-3.30, 12 Fe 3.20-3.36
Ga: 0.0000 0.0000 0.5000  4 Fe 2.60, 6 Ga 2.62-2.82
Ga: 0.0171 0.3531 0.6469  3 Fe 2.55-2.67, 3 Ga 2.55-2.82
Ga: 0.3531 0.0171 0.9829  3 Fe 2.55-2.67, 3 Ga 2.55-2.82
Ga: 0.5000 0.5000 0.0000  4 Fe 2.60, 6 Ga 2.62-2.82
Ga: 0.6469 0.9829 0.0171  3 Fe 2.55-2.67, 3 Ga 2.55-2.82
Ga: 0.9829 0.6469 0.3531  3 Fe 2.55-2.67, 3 Ga 2.55-2.82
Fe: 0.0000 0.5000 0.0000  6 Fe 2.50-2.62, 4 Ga 2.55
Fe: 0.2880 0.4927 0.5073  4 Fe 2.48-2.72, 3 Ga 2.60-2.67
Fe: 0.4927 0.2880 0.7120  4 Fe 2.48-2.72, 3 Ga 2.60-2.67
Fe: 0.5000 0.0000 0.5000  6 Fe 2.50-2.62, 4 Ga 2.55
Fe: 0.5073 0.7120 0.2880  4 Fe 2.48-2.72, 3 Ga 2.60-2.67
Fe: 0.7120 0.5073 0.4927  4 Fe 2.48-2.72, 3 Ga 2.60-2.67

Computed properties:
ΔH_f (0 K)   -13.8 kJ/mol of atoms
ΔE to the lowest computed polymorph   127.7 meV/atom
Final energy   -5.814 eV per atom

***

# 6
An optimized crystal structure of Pr6GaFe13, computed with PBE.

Cell: 12.9803 12.9803 12.9803 Å, 143.91 143.91 51.96°
Closest atoms and distances in Å follow each position.
Sites, in units of the cell vectors:
Pr: 0.0219 0.5219 0.1694  4 Fe 3.00-3.34, 2 Ga 3.34
Pr: 0.1072 0.1072 0.0000  12 Fe 3.06-3.26, 1 Ga 3.33
Pr: 0.1475 0.9781 0.5000  4 Fe 3.00-3.34, 2 Ga 3.34
Pr: 0.3525 0.8525 0.8306  4 Fe 3.00-3.34, 2 Ga 3.34
Pr: 0.3928 0.3928 0.0000  12 Fe 3.06-3.26, 1 Ga 3.33
Pr: 0.4781 0.6475 0.5000  4 Fe 3.00-3.34, 2 Ga 3.34
Pr: 0.5219 0.3525 0.5000  4 Fe 3.00-3.34, 2 Ga 3.34
Pr: 0.6072 0.6072 0.0000  12 Fe 3.06-3.26, 1 Ga 3.33
Pr: 0.6475 0.1475 0.1694  4 Fe 3.00-3.34, 2 Ga 3.34
Pr: 0.8525 0.0219 0.5000  4 Fe 3.00-3.34, 2 Ga 3.34
Pr: 0.8928 0.8928 0.0000  12 Fe 3.06-3.26, 1 Ga 3.33
Pr: 0.9781 0.4781 0.8306  4 Fe 3.00-3.34, 2 Ga 3.34
Ga: 0.2500 0.2500 0.0000  10 Pr 3.33-3.34
Ga: 0.7500 0.7500 0.0000  10 Pr 3.33-3.34
Fe: 0.0000 0.5000 0.5000  12 Fe 2.39-2.53
Fe: 0.0186 0.2938 0.5000  7 Fe 2.51-2.64
Fe: 0.0661 0.2097 0.2758  10 Fe 2.39-2.64
Fe: 0.1204 0.6204 0.8584  9 Fe 2.46-2.74
Fe: 0.2062 0.4814 0.5000  7 Fe 2.51-2.64
Fe: 0.2097 0.9339 0.1436  10 Fe 2.39-2.64
Fe: 0.2379 0.7379 0.8584  9 Fe 2.46-2.74
Fe: 0.2621 0.1204 0.5000  9 Fe 2.46-2.74
Fe: 0.2903 0.4339 0.7242  10 Fe 2.39-2.64
Fe: 0.2938 0.7938 0.2752  7 Fe 2.51-2.64
Fe: 0.3796 0.2379 0.5000  9 Fe 2.46-2.74
Fe: 0.4339 0.7097 0.1436  10 Fe 2.39-2.64
Fe: 0.4814 0.9814 0.2752  7 Fe 2.51-2.64
Fe: 0.5000 0.0000 0.5000  12 Fe 2.39-2.53
Fe: 0.5186 0.0186 0.7248  7 Fe 2.51-2.64
Fe: 0.5661 0.2903 0.8564  10 Fe 2.39-2.64
Fe: 0.6204 0.7621 0.5000  9 Fe 2.46-2.74
Fe: 0.7062 0.2062 0.7248  7 Fe 2.51-2.64
Fe: 0.7097 0.5661 0.2758  10 Fe 2.39-2.64
Fe: 0.7379 0.8796 0.5000  9 Fe 2.46-2.74
Fe: 0.7621 0.2621 0.1416  9 Fe 2.46-2.74
Fe: 0.7903 0.0661 0.8564  10 Fe 2.39-2.64
Fe: 0.7938 0.5186 0.5000  7 Fe 2.51-2.64
Fe: 0.8796 0.3796 0.1416  9 Fe 2.46-2.74
Fe: 0.9339 0.7903 0.7242  10 Fe 2.39-2.64
Fe: 0.9814 0.7062 0.5000  7 Fe 2.51-2.64

Computed properties:
ΔH_f (0 K)   -4.1 kJ/mol of atoms
Final energy   -7.128 eV per atom

***

# 7
An optimized crystal structure of PrGa2Fe, computed with PBE.

Cell: 5.8628 5.8628 5.8628 Å, 41.78 41.78 41.78°
Closest atoms and distances in Å follow each position.
Sites, in units of the cell vectors:
Pr: 0.0000 0.0000 0.0000  8 Ga 3.11-3.39
Ga: 0.2113 0.2113 0.2113  3 Fe 2.52, 3 Ga 2.81
Ga: 0.7887 0.7887 0.7887  3 Fe 2.52, 3 Ga 2.81
Fe: 0.5000 0.5000 0.5000  6 Ga 2.52

Computed properties:
ΔH_f (0 K)   -31.2 kJ/mol of atoms
Final energy   -5.147 eV per atom

***

# 8
An optimized crystal structure of Pr3GaFeS7, computed with PBE.

Cell: 10.0239 10.0239 6.2173 Å, 90.00 90.00 120.00°
Closest atoms and distances in Å follow each position.
Sites, in units of the cell vectors:
Pr: 0.1513 0.7755 0.0000  7 S 2.88-3.08
Pr: 0.2245 0.3758 0.0000  7 S 2.88-3.08
Pr: 0.3758 0.1513 0.5000  7 S 2.88-3.08
Pr: 0.6242 0.8487 0.0000  7 S 2.88-3.08
Pr: 0.7755 0.6242 0.5000  7 S 2.88-3.08
Pr: 0.8487 0.2245 0.5000  7 S 2.88-3.08
Ga: 0.3333 0.6667 0.5777  4 S 2.26-2.30
Ga: 0.6667 0.3333 0.0777  4 S 2.26-2.30
Fe: 0.0000 0.0000 0.1855  6 S 2.48-2.59
Fe: 0.0000 0.0000 0.6855  6 S 2.48-2.59
S: 0.0931 0.5203 0.7263  1 Ga 2.30
S: 0.0951 0.8653 0.4213  2 Fe 2.48-2.59
S: 0.1347 0.2298 0.4213  2 Fe 2.48-2.59
S: 0.2298 0.0951 0.9213  2 Fe 2.48-2.59
S: 0.3333 0.6667 0.2140  1 Ga 2.26
S: 0.4271 0.9069 0.7263  1 Ga 2.30
S: 0.4797 0.5729 0.7263  1 Ga 2.30
S: 0.5203 0.4271 0.2263  1 Ga 2.30
S: 0.5729 0.0931 0.2263  1 Ga 2.30
S: 0.6667 0.3333 0.7140  1 Ga 2.26
S: 0.7702 0.9049 0.4213  2 Fe 2.48-2.59
S: 0.8653 0.7702 0.9213  2 Fe 2.48-2.59
S: 0.9049 0.1347 0.9213  2 Fe 2.48-2.59
S: 0.9069 0.4797 0.2263  1 Ga 2.30

Computed properties:
Raw formation energy   -17.7 eV per formula unit
Final energy   -6.036 eV per atom